A | VASP calculation (PBE) on an optimized crystal structure of Hf4SiGe.

CIF file:
```
data_Hf4SiGe
_cell_length_a 8.981
_cell_length_b 8.994
_cell_length_c 12.576
_cell_angle_alpha 90.00
_cell_angle_beta 90.00
_cell_angle_gamma 90.00
_space_group_name_H-M_alt 'F d d d'
_space_group_IT_number 70
loop_
_space_group_symop_operation_xyz
'x,y,z'
'-x,-y,-z'
'-x+1/4,-y+1/4,z'
'x+1/4,y+1/4,-z'
'x,-y+1/4,-z+1/4'
'-x,y+1/4,z+1/4'
'-x+1/4,y,-z+1/4'
'x+1/4,-y,z+1/4'
'x,y+1/2,z+1/2'
'-x,-y+1/2,-z+1/2'
'-x+1/4,-y+3/4,z+1/2'
'x+1/4,y+3/4,-z+1/2'
'x,-y+3/4,-z+3/4'
'-x,y+3/4,z+3/4'
'-x+1/4,y+1/2,-z+3/4'
'x+1/4,-y+1/2,z+3/4'
'x+1/2,y,z+1/2'
'-x+1/2,-y,-z+1/2'
'-x+3/4,-y+1/4,z+1/2'
'x+3/4,y+1/4,-z+1/2'
'x+1/2,-y+1/4,-z+3/4'
'-x+1/2,y+1/4,z+3/4'
'-x+3/4,y,-z+3/4'
'x+3/4,-y,z+3/4'
'x+1/2,y+1/2,z'
'-x+1/2,-y+1/2,-z'
'-x+3/4,-y+3/4,z'
'x+3/4,y+3/4,-z'
'x+1/2,-y+3/4,-z+1/4'
'-x+1/2,y+3/4,z+1/4'
'-x+3/4,y+1/2,-z+1/4'
'x+3/4,-y+1/2,z+1/4'
loop_
_atom_site_label
_atom_site_type_symbol
_atom_site_fract_x
_atom_site_fract_y
_atom_site_fract_z
_atom_site_occupancy
Hf1 Hf 0.123 0.373 0.250 1
Si1 Si 0.125 0.125 0.125 1
Ge1 Ge 0.125 0.125 0.625 1
```

Results
Size of the total moment   0.00 μB per formula unit
Crystal system   orthorhombic



B | VASP calculation (PBE) on an optimized crystal structure of Hf4SiGe.

CIF file:
```
data_Hf4SiGe
_cell_length_a 6.613
_cell_length_b 6.613
_cell_length_c 5.239
_cell_angle_alpha 90.00
_cell_angle_beta 90.00
_cell_angle_gamma 90.00
_space_group_name_H-M_alt 'P 4/m c c'
_space_group_IT_number 124
_space_group_name_Hall '-P 4 2c'
loop_
_atom_site_label
_atom_site_type_symbol
_atom_site_fract_x
_atom_site_fract_y
_atom_site_fract_z
_atom_site_occupancy
Hf1 Hf 0.152 0.340 0.000 1
Si1 Si 0.000 0.000 0.250 1
Ge1 Ge 0.500 0.500 0.250 1
```

Results
Size of the total moment   0.00 μB per formula unit
Crystal system   tetragonal



Each structure's energy above the most stable one, in kJ/mol of atoms: A 44.4; B 0.0.